12
Lattice="4.133 0.000 0.000 -2.066 3.579 0.000 0.000 0.000 14.165" Properties=species:S:1:pos:R:3 comment="MnGa2Au GGA-PBE optimized geometry" formation_enthalpy_0k_ev_per_atom=0.025 pbc="T T T"
Mn 0.000 0.000 0.000
Mn 0.000 2.386 9.443
Mn 2.066 1.193 4.722
Ga 0.000 0.000 5.491
Ga 0.000 0.000 8.247
Ga 0.000 2.386 0.770
Ga 0.000 2.386 3.526
Ga 2.066 1.193 10.213
Ga 2.066 1.193 12.969
Au 0.000 0.000 11.481
Au 0.000 2.386 6.760
Au 2.066 1.193 2.038

5
Lattice="5.154 0.000 0.000 0.000 5.154 0.000 0.000 0.000 4.329" Properties=species:S:1:pos:R:3 comment="La2ZrZnO GGA-PBE optimized geometry" formation_energy_uncorrected_ev_per_atom=-1.14 pbc="T T T"
La 0.000 2.577 0.000
La 2.577 0.000 0.000
Zr 0.000 0.000 2.164
Zn 2.577 2.577 2.164
O 0.000 0.000 0.000

5
Lattice="5.040 0.000 0.000 0.000 5.040 0.000 0.000 0.000 5.212" Properties=species:S:1:pos:R:3 comment="BaLi2AlGe GGA-PBE optimized geometry" formation_enthalpy_0k_ev_per_atom=-0.122 pbc="T T T"
Ba 0.000 0.000 0.000
Li 0.000 2.520 2.606
Li 2.520 0.000 2.606
Al 2.520 2.520 0.000
Ge 2.520 2.520 2.606